# CrCdFeF6 | Alexandria via LeMat-Bulk | PBE+U | optimized geometry
data_CrCdFeF6
_cell_length_a 5.4793
_cell_length_b 5.4793
_cell_length_c 9.6710
_cell_angle_alpha 90.00
_cell_angle_beta 90.00
_cell_angle_gamma 120.00
_space_group_name_H-M_alt 'P -3 1 c'
_space_group_IT_number 163
_space_group_name_Hall '-P 3 2c'
loop_
_atom_site_label
_atom_site_type_symbol
_atom_site_fract_x
_atom_site_fract_y
_atom_site_fract_z
_atom_site_occupancy
Cr1 Cr 0.3333 0.6667 0.2500 1
Cd1 Cd 0.0000 0.0000 0.0000 1
Fe1 Fe 0.3333 0.6667 0.7500 1
F1 F 0.0067 0.3506 0.1356 1
# E_tot, eV/cell: -89.96
# Calculated volume, Å³/cell: 251
# Total magnetization, μB per formula unit: 7.67